[1]
Density functional theory data (GGA-PBE) for crystalline Mg2InAg2 at its relaxed geometry.

Volume, A^3/atom: 20.33
Spin magnetization, μB per cell: 0.00
Energy above the most stable polymorph in this dataset, eV per atom: 0.0048
DFT formation energy, meV/atom: -154
Space group: P4/mbm (127)

abc: 7.7886 7.7886 3.3515
angles: 90.00 90.00 90.00
Atoms (fractional coordinates):
Mg1 0.1614 0.3386 0.0000
Mg2 0.3386 0.8386 0.0000
Mg3 0.6614 0.1614 0.0000
Mg4 0.8386 0.6614 0.0000
In1 0.0000 0.0000 0.5000
In2 0.5000 0.5000 0.5000
Ag1 0.1342 0.6342 0.5000
Ag2 0.3658 0.1342 0.5000
Ag3 0.6342 0.8658 0.5000
Ag4 0.8658 0.3658 0.5000

[2]
Density functional theory data (GGA-PBE) for crystalline Mg7In2Ag2 at its relaxed geometry.

Volume, A^3/atom: 23.54
Spin magnetization, μB per cell: 0.00
DFT formation energy, meV/atom: -10
Space group: Cmmm (65)

abc: 5.9682 5.9682 8.1210
angles: 90.00 90.00 116.46
Atoms (fractional coordinates):
Mg1 0.0000 0.0000 0.0000
Mg2 0.0000 0.5000 0.2931
Mg3 0.0000 0.5000 0.7069
Mg4 0.5000 0.0000 0.2931
Mg5 0.5000 0.0000 0.7069
Mg6 0.5000 0.5000 0.1890
Mg7 0.5000 0.5000 0.8110
In1 0.2361 0.2361 0.5000
In2 0.7639 0.7639 0.5000
Ag1 0.2727 0.7273 0.0000
Ag2 0.7273 0.2727 0.0000

[3]
Density functional theory data (GGA-PBE) for crystalline Mg9In4Ag11 at its relaxed geometry.

Volume, A^3/atom: 19.63
Spin magnetization, μB per cell: 0.00
DFT formation energy, meV/atom: -152
Space group: Cmmm (65)

abc: 12.3913 12.3913 3.2573
angles: 90.00 90.00 109.61
Atoms (fractional coordinates):
Mg1 0.0000 0.0000 0.0000
Mg2 0.1147 0.6531 0.0000
Mg3 0.2974 0.4870 0.0000
Mg4 0.3469 0.8853 0.0000
Mg5 0.4870 0.2974 0.0000
Mg6 0.5130 0.7026 0.0000
Mg7 0.6531 0.1147 0.0000
Mg8 0.7026 0.5130 0.0000
Mg9 0.8853 0.3469 0.0000
In1 0.0845 0.2511 0.0000
In2 0.2511 0.0845 0.0000
In3 0.7489 0.9155 0.0000
In4 0.9155 0.7489 0.0000
Ag1 0.0965 0.4571 0.5000
Ag2 0.1335 0.8665 0.5000
Ag3 0.2969 0.2969 0.5000
Ag4 0.3148 0.6852 0.5000
Ag5 0.4571 0.0965 0.5000
Ag6 0.5000 0.5000 0.5000
Ag7 0.5429 0.9035 0.5000
Ag8 0.6852 0.3148 0.5000
Ag9 0.7031 0.7031 0.5000
Ag10 0.8665 0.1335 0.5000
Ag11 0.9035 0.5429 0.5000

[4]
Density functional theory data (GGA-PBE) for crystalline MgInAg4 at its relaxed geometry.

Volume, A^3/atom: 18.88
Spin magnetization, μB per cell: 0.00
Energy above the most stable polymorph in this dataset, eV per atom: 0.0155
DFT formation energy, meV/atom: -90
Space group: Pm (6)

abc: 3.2206 4.7861 7.4937
angles: 90.00 101.29 90.00
Atoms (fractional coordinates):
Mg1 0.0000 0.0000 0.0000
In1 0.2032 0.5000 0.4155
Ag1 0.3374 0.0000 0.6733
Ag2 0.5340 0.5000 0.0774
Ag3 0.6651 0.0000 0.3297
Ag4 0.8755 0.5000 0.7537

[5]
Density functional theory data (GGA-PBE) for crystalline MgInAg4 at its relaxed geometry.

Volume, A^3/atom: 20.17
Spin magnetization, μB per cell: 0.00
Energy above the most stable polymorph in this dataset, eV per atom: 0.0699
DFT formation energy, meV/atom: -35
Space group: F-43m (216)

abc: 5.5517 5.5517 5.5517
angles: 60.00 60.00 60.00
Atoms (fractional coordinates):
Mg1 0.0000 0.0000 0.0000
In1 0.2500 0.2500 0.2500
Ag1 0.1245 0.6252 0.6252
Ag2 0.6252 0.1245 0.6252
Ag3 0.6252 0.6252 0.1245
Ag4 0.6252 0.6252 0.6252

[6]
Density functional theory data (GGA-PBE) for crystalline MgInAg2 at its relaxed geometry.

Volume, A^3/atom: 20.01
Spin magnetization, μB per cell: 0.00
Energy above the most stable polymorph in this dataset, eV per atom: 0.0534
DFT formation energy, meV/atom: -95
Space group: Pm (6)

abc: 3.0850 4.6266 5.8047
angles: 90.00 105.01 90.00
Atoms (fractional coordinates):
Mg1 0.0000 0.0000 0.0000
In1 0.3234 0.5000 0.6588
Ag1 0.5808 0.5000 0.1676
Ag2 0.7265 0.0000 0.4649

[7]
Density functional theory data (GGA-PBE) for crystalline Mg5InAg2 at its relaxed geometry.

Volume, A^3/atom: 21.38
Spin magnetization, μB per cell: 0.00
DFT formation energy, meV/atom: -119
Space group: I4/mcm (140)

abc: 8.1027 8.1027 8.1027
angles: 125.21 125.21 81.19
Atoms (fractional coordinates):
Mg1 0.0000 0.0000 0.0000
Mg2 0.0042 0.5042 0.8076
Mg3 0.1965 0.0042 0.5000
Mg4 0.3035 0.8035 0.8076
Mg5 0.4958 0.3035 0.5000
Mg6 0.5000 0.5000 0.0000
Mg7 0.5042 0.6965 0.5000
Mg8 0.6965 0.1965 0.1924
Mg9 0.8035 0.9958 0.5000
Mg10 0.9958 0.4958 0.1924
In1 0.2500 0.2500 0.0000
In2 0.7500 0.7500 0.0000
Ag1 0.1393 0.3607 0.5000
Ag2 0.3607 0.8607 0.2214
Ag3 0.6393 0.1393 0.7786
Ag4 0.8607 0.6393 0.5000

[8]
Density functional theory data (GGA-PBE) for crystalline MgIn2Ag8 at its relaxed geometry.

Volume, A^3/atom: 18.78
Spin magnetization, μB per cell: 0.00
DFT formation energy, meV/atom: -73
Space group: C2/m (12)

abc: 7.8785 7.8785 6.6650
angles: 105.55 105.55 31.32
Atoms (fractional coordinates):
Mg1 0.0000 0.0000 0.0000
In1 0.2772 0.2772 0.3527
In2 0.7228 0.7228 0.6473
Ag1 0.0890 0.0890 0.4517
Ag2 0.1782 0.1782 0.9133
Ag3 0.3650 0.3650 0.8175
Ag4 0.4572 0.4572 0.2699
Ag5 0.5428 0.5428 0.7301
Ag6 0.6350 0.6350 0.1825
Ag7 0.8218 0.8218 0.0867
Ag8 0.9110 0.9110 0.5483

[9]
Density functional theory data (GGA-PBE) for crystalline MgInAg at its relaxed geometry.

Volume, A^3/atom: 23.61
Spin magnetization, μB per cell: 0.00
DFT formation energy, meV/atom: -83
Space group: F-43m (216)

abc: 4.6445 4.6445 4.6445
angles: 60.00 60.00 60.00
Atoms (fractional coordinates):
Mg1 0.0000 0.0000 0.0000
In1 0.5000 0.5000 0.5000
Ag1 0.7500 0.7500 0.7500

[10]
Density functional theory data (GGA-PBE) for crystalline MgIn3Ag7 at its relaxed geometry.

Volume, A^3/atom: 21.32
Spin magnetization, μB per cell: 0.00
Energy above the most stable polymorph in this dataset, eV per atom: 0.0626
DFT formation energy, meV/atom: 68
Space group: C2/m (12)

abc: 6.8671 6.8671 5.4776
angles: 106.95 106.95 91.65
Atoms (fractional coordinates):
Mg1 0.0000 0.0000 0.0000
In1 0.2830 0.7170 0.5000
In2 0.5000 0.5000 0.0000
In3 0.7170 0.2830 0.5000
Ag1 0.0000 0.0000 0.5000
Ag2 0.0799 0.5724 0.8258
Ag3 0.2822 0.2822 0.4518
Ag4 0.4276 0.9201 0.1742
Ag5 0.5724 0.0799 0.8258
Ag6 0.7178 0.7178 0.5482
Ag7 0.9201 0.4276 0.1742

[11]
Density functional theory data (GGA-PBE) for crystalline Mg5InAg at its relaxed geometry.

Volume, A^3/atom: 23.00
Spin magnetization, μB per cell: 0.00
Energy above the most stable polymorph in this dataset, eV per atom: 0.0000
DFT formation energy, meV/atom: -62
Space group: P4/mmm (123)

abc: 4.5764 4.5764 7.6868
angles: 90.00 90.00 90.00
Atoms (fractional coordinates):
Mg1 0.0000 0.0000 0.0000
Mg2 0.0000 0.5000 0.2913
Mg3 0.0000 0.5000 0.7087
Mg4 0.5000 0.0000 0.2913
Mg5 0.5000 0.0000 0.7087
In1 0.5000 0.5000 0.0000
Ag1 0.5000 0.5000 0.5000

[12]
Density functional theory data (GGA-PBE) for crystalline Mg8In2Ag at its relaxed geometry.

Volume, A^3/atom: 23.21
Spin magnetization, μB per cell: 0.00
Energy above the most stable polymorph in this dataset, eV per atom: 0.0343
DFT formation energy, meV/atom: -23
Space group: C2/m (12)

abc: 7.9418 7.9418 5.1240
angles: 100.36 100.36 121.77
Atoms (fractional coordinates):
Mg1 0.1002 0.3148 0.6383
Mg2 0.2027 0.7973 0.0000
Mg3 0.3148 0.1002 0.6383
Mg4 0.3845 0.3845 0.2002
Mg5 0.6155 0.6155 0.7998
Mg6 0.6852 0.8998 0.3617
Mg7 0.7973 0.2027 0.0000
Mg8 0.8998 0.6852 0.3617
In1 0.3007 0.6993 0.5000
In2 0.6993 0.3007 0.5000
Ag1 0.0000 0.0000 0.0000

[13]
Density functional theory data (GGA-PBE) for crystalline MgInAg4 at its relaxed geometry.

Volume, A^3/atom: 18.74
Spin magnetization, μB per cell: 0.00
Energy above the most stable polymorph in this dataset, eV per atom: 0.0000
DFT formation energy, meV/atom: -105
Space group: C2/m (12)

abc: 5.3089 5.3089 4.8997
angles: 92.43 92.43 125.13
Atoms (fractional coordinates):
Mg1 0.0000 0.0000 0.0000
In1 0.5000 0.5000 0.5000
Ag1 0.1655 0.8346 0.5000
Ag2 0.3319 0.6681 0.0000
Ag3 0.6681 0.3319 0.0000
Ag4 0.8346 0.1655 0.5000

[14]
Density functional theory data (GGA-PBE) for crystalline Mg5In8Ag at its relaxed geometry.

Volume, A^3/atom: 24.76
Spin magnetization, μB per cell: 0.00
DFT formation energy, meV/atom: -5
Space group: I-4 (82)

abc: 7.6678 7.6678 7.6678
angles: 110.68 110.68 107.08
Atoms (fractional coordinates):
Mg1 0.0000 0.0000 0.0000
Mg2 0.0383 0.2147 0.5892
Mg3 0.5509 0.9617 0.1764
Mg4 0.6255 0.4491 0.4108
Mg5 0.7853 0.3745 0.8236
In1 0.0953 0.6711 0.7705
In2 0.2655 0.5019 0.1035
In3 0.3289 0.0994 0.4242
In4 0.3984 0.1620 0.8965
In5 0.4981 0.6016 0.7636
In6 0.6752 0.9047 0.5758
In7 0.8380 0.7345 0.2364
In8 0.9006 0.3248 0.2295
Ag1 0.2500 0.7500 0.5000

[15]
Density functional theory data (GGA-PBE) for crystalline Mg8In2Ag at its relaxed geometry.

Volume, A^3/atom: 22.86
Spin magnetization, μB per cell: 0.00
Energy above the most stable polymorph in this dataset, eV per atom: 0.0000
DFT formation energy, meV/atom: -57
Space group: P4/mmm (123)

abc: 4.5769 4.5769 12.0017
angles: 90.00 90.00 90.00
Atoms (fractional coordinates):
Mg1 0.0000 0.0000 0.1812
Mg2 0.0000 0.0000 0.8188
Mg3 0.0000 0.5000 0.0000
Mg4 0.0000 0.5000 0.3657
Mg5 0.0000 0.5000 0.6343
Mg6 0.5000 0.0000 0.0000
Mg7 0.5000 0.0000 0.3657
Mg8 0.5000 0.0000 0.6343
In1 0.5000 0.5000 0.1825
In2 0.5000 0.5000 0.8175
Ag1 0.5000 0.5000 0.5000

[16]
Density functional theory data (GGA-PBE) for crystalline MgInAg2 at its relaxed geometry.

Volume, A^3/atom: 19.31
Spin magnetization, μB per cell: 0.00
Energy above the most stable polymorph in this dataset, eV per atom: 0.0000
DFT formation energy, meV/atom: -148
Space group: Fm-3m (225)

abc: 4.7801 4.7801 4.7801
angles: 60.00 60.00 60.00
Atoms (fractional coordinates):
Mg1 0.0000 0.0000 0.0000
In1 0.5000 0.5000 0.5000
Ag1 0.2500 0.2500 0.2500
Ag2 0.7500 0.7500 0.7500

[17]
Density functional theory data (GGA-PBE) for crystalline Mg4InAg at its relaxed geometry.

Volume, A^3/atom: 22.61
Spin magnetization, μB per cell: 0.00
Energy above the most stable polymorph in this dataset, eV per atom: 0.0972
DFT formation energy, meV/atom: 81
Space group: F-43m (216)

abc: 5.7672 5.7672 5.7672
angles: 60.00 60.00 60.00
Atoms (fractional coordinates):
Mg1 0.1248 0.1248 0.1248
Mg2 0.1248 0.1248 0.6256
Mg3 0.1248 0.6256 0.1248
Mg4 0.6256 0.1248 0.1248
In1 0.5000 0.5000 0.5000
Ag1 0.7500 0.7500 0.7500

[18]
Density functional theory data (GGA-PBE) for crystalline Mg2InAg2 at its relaxed geometry.

Volume, A^3/atom: 19.77
Spin magnetization, μB per cell: 0.00
Energy above the most stable polymorph in this dataset, eV per atom: 0.0000
DFT formation energy, meV/atom: -159
Space group: C2/c (15)

abc: 5.7606 5.7606 7.8223
angles: 107.59 107.59 54.05
Atoms (fractional coordinates):
Mg1 0.0205 0.3532 0.1483
Mg2 0.3532 0.0205 0.6483
Mg3 0.6468 0.9795 0.3517
Mg4 0.9795 0.6468 0.8517
In1 0.2004 0.7996 0.2500
In2 0.7996 0.2004 0.7500
Ag1 0.2234 0.5587 0.5427
Ag2 0.4413 0.7766 0.9573
Ag3 0.5587 0.2234 0.0427
Ag4 0.7766 0.4413 0.4573

[19]
Density functional theory data (GGA-PBE) for crystalline Mg6In2Ag at its relaxed geometry.

Volume, A^3/atom: 22.11
Spin magnetization, μB per cell: 0.00
Energy above the most stable polymorph in this dataset, eV per atom: 0.0000
DFT formation energy, meV/atom: -120
Space group: P-62m (189)

abc: 8.2321 8.2321 3.3902
angles: 90.00 90.00 120.00
Atoms (fractional coordinates):
Mg1 0.0000 0.3643 0.0000
Mg2 0.0000 0.7269 0.5000
Mg3 0.2731 0.2731 0.5000
Mg4 0.3643 0.0000 0.0000
Mg5 0.6357 0.6357 0.0000
Mg6 0.7269 0.0000 0.5000
In1 0.3333 0.6667 0.5000
In2 0.6667 0.3333 0.5000
Ag1 0.0000 0.0000 0.0000

[20]
Density functional theory data (GGA-PBE) for crystalline Mg3In3Ag2 at its relaxed geometry.

Volume, A^3/atom: 21.70
Spin magnetization, μB per cell: 0.00
DFT formation energy, meV/atom: -86
Space group: R32 (155)

abc: 5.5784 5.5784 5.5784
angles: 89.67 89.67 89.67
Atoms (fractional coordinates):
Mg1 0.0000 0.2609 0.7391
Mg2 0.2609 0.7391 0.0000
Mg3 0.7391 0.0000 0.2609
In1 0.2380 0.7620 0.5000
In2 0.5000 0.2380 0.7620
In3 0.7620 0.5000 0.2380
Ag1 0.2393 0.2393 0.2393
Ag2 0.7607 0.7607 0.7607